{"formula": "CeAlHgAu", "functional": "PBE-GGA", "state": "optimized geometry", "lattice_angstrom": [[5.0088, 0.0000, 0.0000], [2.5044, 4.3377, 0.0000], [2.5044, 1.4459, 4.0897]], "species": ["Al", "Hg", "Au", "Ce"], "fractional_positions": [[0.0000, 0.0000, 0.0000], [0.7500, 0.7500, 0.7500], [0.2500, 0.2500, 0.2500], [0.5000, 0.5000, 0.5000]], "magmom_total_mub_per_fu": 0.56, "formation_enthalpy_0k_ev_per_fu": -1.76, "e_tot_ev_per_fu": -15.0, "space_group": "No. 216"}